1.
A crystal of TePPt2 relaxed with PBEsol, computed with meta-GGA SCAN.

Values from the calculation:
The energy relative to the elements, uncorrected is 0.25 eV per atom. The calculation puts the calculated total energy at -374.11 eV per cell. The calculation puts the mass density at 13.34 Mg/m³. The calculation puts the density of states at the Fermi level at 2.89 states/eV per cell.

Cell and atoms, written as CIF:
```
data_TePPt2
_symmetry_space_group_name_H-M 'I m m m'
_symmetry_Int_Tables_number 71
_symmetry_space_group_name_Hall '-I 2 2'
_cell_length_a 4.463
_cell_length_b 4.762
_cell_length_c 6.426
_cell_angle_alpha 90.00
_cell_angle_beta 90.00
_cell_angle_gamma 90.00
loop_
_atom_site_label
_atom_site_type_symbol
_atom_site_fract_x
_atom_site_fract_y
_atom_site_fract_z
Te1 Te 0.000 0.000 0.000
P1 P 0.000 0.000 0.500
Pt1 Pt 0.000 0.500 0.231
```


2.
A crystal of TcIr4Au relaxed with PBEsol, computed with meta-GGA SCAN.

Values from the calculation:
The calculation puts the calculated total energy at -1540.06 eV per cell. The calculation puts the mass density at 18.97 Mg/m³. The calculation puts the density of states at the Fermi level at 33.06 states/eV per cell. The value obtained for the formation enthalpy at 0 K is 0.60 eV/atom.

Cell and atoms, written as CIF:
```
data_TcIr4Au
_symmetry_space_group_name_H-M 'F -4 3 m'
_symmetry_Int_Tables_number 216
_symmetry_space_group_name_Hall 'F -4 2 3'
_cell_length_a 7.196
_cell_length_b 7.196
_cell_length_c 7.196
_cell_angle_alpha 90.00
_cell_angle_beta 90.00
_cell_angle_gamma 90.00
loop_
_atom_site_label
_atom_site_type_symbol
_atom_site_fract_x
_atom_site_fract_y
_atom_site_fract_z
Tc1 Tc 0.000 0.000 0.000
Ir1 Ir 0.125 0.125 0.625
Au1 Au 0.250 0.250 0.250
```


3.
A crystal of BaLaRe2 relaxed with PBEsol, computed with meta-GGA SCAN.

Values from the calculation:
The calculation puts the calculated total energy at -219.22 eV per cell. The calculation puts the mass density at 12.82 Mg/m³. The calculation puts the density of states at the Fermi level at 4.24 states/eV per cell. The value obtained for the formation enthalpy at 0 K is 1.41 eV/atom.

Cell and atoms, written as CIF:
```
data_BaLaRe2
_symmetry_space_group_name_H-M 'P m m m'
_symmetry_Int_Tables_number 47
_symmetry_space_group_name_Hall '-P 2 2'
_cell_length_a 3.270
_cell_length_b 5.061
_cell_length_c 5.079
_cell_angle_alpha 90.00
_cell_angle_beta 90.00
_cell_angle_gamma 90.00
loop_
_atom_site_label
_atom_site_type_symbol
_atom_site_fract_x
_atom_site_fract_y
_atom_site_fract_z
Ba1 Ba 0.000 0.000 0.000
La1 La 0.500 0.500 0.000
Re1 Re 0.000 0.500 0.500
Re2 Re 0.500 0.000 0.500
```


Please write out number 3 again, unchanged.
A crystal of BaLaRe2 relaxed with PBEsol, computed with meta-GGA SCAN.

Values from the calculation:
The calculation puts the calculated total energy at -219.22 eV per cell. The calculation puts the mass density at 12.82 Mg/m³. The calculation puts the density of states at the Fermi level at 4.24 states/eV per cell. The value obtained for the formation enthalpy at 0 K is 1.41 eV/atom.

Cell and atoms, written as CIF:
```
data_BaLaRe2
_symmetry_space_group_name_H-M 'P m m m'
_symmetry_Int_Tables_number 47
_symmetry_space_group_name_Hall '-P 2 2'
_cell_length_a 3.270
_cell_length_b 5.061
_cell_length_c 5.079
_cell_angle_alpha 90.00
_cell_angle_beta 90.00
_cell_angle_gamma 90.00
loop_
_atom_site_label
_atom_site_type_symbol
_atom_site_fract_x
_atom_site_fract_y
_atom_site_fract_z
Ba1 Ba 0.000 0.000 0.000
La1 La 0.500 0.500 0.000
Re1 Re 0.000 0.500 0.500
Re2 Re 0.500 0.000 0.500
```